--- w ---
First-principles (PBE) data for a relaxed structure of TlSn3Pb, as listed in Alexandria.

The calculation puts the total moment at 0.00 μB/cell. The calculation puts the density of states at the Fermi level at 0.47 states/eV per atom.

The structure belongs to space group Pnma (No. 62); the cell edges are 11.364, 3.388 and 15.477 Å and the angles 90.00°, 90.00° and 90.00°. The asymmetric unit holds Tl at (0.134, 0.250, 0.030), Sn at (0.101, 0.750, 0.820), Sn at (0.140, 0.750, 0.236), Sn at (0.147, 0.250, 0.410) and Pb at (0.109, 0.250, 0.629).

--- x ---
First-principles (PBE) data for a relaxed structure of TlSn3Pb, as listed in Alexandria.

The calculation puts the total moment at 0.00 μB/cell. The calculation puts the density of states at the Fermi level at 0.72 states/eV per atom.

The structure belongs to space group Cmcm (No. 63); the cell edges are 6.345, 16.717 and 6.055 Å and the angles 90.00°, 90.00° and 90.00°. The asymmetric unit holds Tl at (0.000, 0.184, 0.250), Sn at (0.000, 0.000, 0.000), Sn at (0.241, 0.363, 0.250) and Pb at (0.000, 0.442, 0.750).

--- y ---
First-principles (PBE) data for a relaxed structure of TlSn3Pb, as listed in Alexandria.

The calculation puts the total moment at 0.00 μB/cell. The calculation puts the density of states at the Fermi level at 0.87 states/eV per atom.

The structure belongs to space group Pm-3m (No. 221); the cell edges are 5.861, 5.861 and 5.861 Å and the angles 90.00°, 90.00° and 90.00°. The asymmetric unit holds Tl at (0.000, 0.000, 0.000), Sn at (0.000, 0.500, 0.500) and Pb at (0.500, 0.500, 0.500).

--- z ---
First-principles (PBE) data for a relaxed structure of TlSn3Pb, as listed in Alexandria.

The calculation puts the total moment at 0.00 μB/cell. The calculation puts the density of states at the Fermi level at 0.60 states/eV per atom.

The structure belongs to space group Pm-3m (No. 221); the cell edges are 5.712, 5.712 and 5.712 Å and the angles 90.00°, 90.00° and 90.00°. The asymmetric unit holds Tl at (0.000, 0.000, 0.000), Sn at (0.000, 0.000, 0.500) and Pb at (0.500, 0.500, 0.500).

Stability, lowest: z

--- w ---
First-principles (PBE) data for a relaxed structure of Tl2SnPb3, as listed in Alexandria.

The calculation puts the total moment at 0.00 μB/cell. The calculation puts the density of states at the Fermi level at 0.40 states/eV per atom.

The structure belongs to space group Cmc2_1 (No. 36); the cell edges are 10.255, 10.945 and 6.730 Å and the angles 90.00°, 90.00° and 90.00°. The asymmetric unit holds Tl at (0.168, 0.233, 0.000), Sn at (0.000, 0.278, 0.498), Pb at (0.000, 0.001, 0.748) and Pb at (0.165, 0.500, 0.250).

--- x ---
First-principles (PBE) data for a relaxed structure of Tl2SnPb3, as listed in Alexandria.

The calculation puts the total moment at 0.00 μB/cell. The calculation puts the density of states at the Fermi level at 0.43 states/eV per atom.

The structure belongs to space group C2/c (No. 15); the cell edges are 13.744, 6.912 and 8.679 Å and the angles 90.00°, 108.33° and 90.00°. The asymmetric unit holds Tl at (0.167, 0.000, 0.084), Sn at (0.000, 0.253, 0.250), Pb at (0.000, 0.231, 0.750) and Pb at (0.133, 0.500, 0.066).

Stability, lowest: x

--- w ---
First-principles (PBE) data for a relaxed structure of Tl2Sn2Pb, as listed in Alexandria.

The calculation puts the total moment at 0.00 μB/cell. The calculation puts the density of states at the Fermi level at 0.50 states/eV per atom.

The structure belongs to space group C2/m (No. 12); the cell edges are 15.738, 5.951 and 3.348 Å and the angles 90.00°, 100.44° and 90.00°. The asymmetric unit holds Tl at (0.201, 0.000, 0.157), Sn at (0.089, 0.500, 0.330) and Pb at (0.000, 0.000, 0.500).

--- x ---
First-principles (PBE) data for a relaxed structure of Tl2Sn2Pb, as listed in Alexandria.

The calculation puts the total moment at 0.00 μB/cell. The calculation puts the density of states at the Fermi level at 0.63 states/eV per atom.

The structure belongs to space group I4/mmm (No. 139); the cell edges are 4.542, 4.542 and 15.501 Å and the angles 90.00°, 90.00° and 90.00°. The asymmetric unit holds Tl at (0.000, 0.500, 0.250), Sn at (0.000, 0.000, 0.095) and Pb at (0.000, 0.000, 0.500).

Stability, lowest: x

--- w ---
First-principles (PBE) data for a relaxed structure of Tl2Sn2Pb, as listed in Alexandria.

The calculation puts the total moment at 0.00 μB/cell. The calculation puts the density of states at the Fermi level at 0.56 states/eV per atom.

The structure belongs to space group P4/mbm (No. 127); the cell edges are 9.171, 9.171 and 3.596 Å and the angles 90.00°, 90.00° and 90.00°. The asymmetric unit holds Tl at (0.148, 0.352, 0.000), Sn at (0.150, 0.650, 0.500) and Pb at (0.000, 0.000, 0.500).

--- x ---
First-principles (PBE) data for a relaxed structure of Tl2Sn2Pb, as listed in Alexandria.

The calculation puts the total moment at 0.00 μB/cell. The calculation puts the density of states at the Fermi level at 0.59 states/eV per atom.

The structure belongs to space group I4/mmm (No. 139); the cell edges are 4.277, 4.277 and 17.363 Å and the angles 90.00°, 90.00° and 90.00°. The asymmetric unit holds Tl at (0.000, 0.000, 0.099), Sn at (0.000, 0.500, 0.250) and Pb at (0.000, 0.000, 0.500).

Stability, lowest: x

--- w ---
First-principles (PBE) data for a relaxed structure of Tl7Sn2Pb2, as listed in Alexandria.

The calculation puts the total moment at 0.00 μB/cell. The calculation puts the density of states at the Fermi level at 0.46 states/eV per atom.

The structure belongs to space group C2/m (No. 12); the cell edges are 6.655, 10.763 and 9.683 Å and the angles 90.00°, 91.43° and 90.00°. The asymmetric unit holds Tl at (0.000, 0.000, 0.000), Tl at (0.147, 0.298, 0.154), Tl at (0.209, 0.500, 0.718), Sn at (0.179, 0.000, 0.619) and Pb at (0.000, 0.273, 0.500).

--- x ---
First-principles (PBE) data for a relaxed structure of Tl7Sn2Pb2, as listed in Alexandria.

The calculation puts the total moment at 0.00 μB/cell. The calculation puts the density of states at the Fermi level at 0.47 states/eV per atom.

The structure belongs to space group C2/m (No. 12); the cell edges are 9.241, 9.770 and 7.968 Å and the angles 90.00°, 104.23° and 90.00°. The asymmetric unit holds Tl at (0.000, 0.000, 0.000), Tl at (0.186, 0.500, 0.505), Tl at (0.191, 0.276, 0.184), Sn at (0.100, 0.500, 0.870) and Pb at (0.000, 0.175, 0.500).

Stability, lowest: x

--- w ---
First-principles (PBE) data for a relaxed structure of TlSnPb, as listed in Alexandria.

The calculation puts the total moment at 0.00 μB/cell. The calculation puts the density of states at the Fermi level at 0.47 states/eV per atom.

The structure belongs to space group P3m1 (No. 156); the cell edges are 3.4485, 3.4485 and 8.8109 Å and the angles 90.00°, 90.00° and 120.00°. The asymmetric unit holds Tl at (0.0000, 0.0000, 0.0000), Sn at (0.6667, 0.3333, 0.3293) and Pb at (0.3333, 0.6667, 0.6480).

--- x ---
First-principles (PBE) data for a relaxed structure of TlSnPb, as listed in Alexandria.

The calculation puts the total moment at 0.00 μB/cell. The calculation puts the density of states at the Fermi level at 0.44 states/eV per atom.

The structure belongs to space group Cmce (No. 64); the cell edges are 6.763, 10.934 and 9.791 Å and the angles 90.00°, 90.00° and 90.00°. The asymmetric unit holds Tl at (0.000, 0.127, 0.091), Sn at (0.000, 0.122, 0.423) and Pb at (0.250, 0.121, 0.750).

--- y ---
First-principles (PBE) data for a relaxed structure of TlSnPb, as listed in Alexandria.

The calculation puts the total moment at 0.00 μB/cell. The calculation puts the density of states at the Fermi level at 0.54 states/eV per atom.

The structure belongs to space group F-43m (No. 216); the cell edges are 7.469, 7.469 and 7.469 Å and the angles 90.00°, 90.00° and 90.00°. The asymmetric unit holds Tl at (0.000, 0.000, 0.000), Sn at (0.250, 0.250, 0.750) and Pb at (0.000, 0.000, 0.500).

Stability, lowest: y

--- w ---
First-principles (PBE) data for a relaxed structure of Tl2SnPb8, as listed in Alexandria.

The calculation puts the total moment at 0.00 μB/cell. The calculation puts the density of states at the Fermi level at 0.48 states/eV per atom.

The structure belongs to space group C2/m (No. 12); the cell edges are 18.411, 4.811 and 8.069 Å and the angles 90.00°, 106.71° and 90.00°. The asymmetric unit holds Tl at (0.228, 0.000, 0.136), Sn at (0.000, 0.500, 0.500), Pb at (0.043, 0.000, 0.233), Pb at (0.089, 0.500, 0.957), Pb at (0.134, 0.000, 0.677) and Pb at (0.182, 0.500, 0.409).

--- x ---
First-principles (PBE) data for a relaxed structure of Tl2SnPb8, as listed in Alexandria.

The calculation puts the total moment at 0.00 μB/cell. The calculation puts the density of states at the Fermi level at 0.23 states/eV per atom.

The structure belongs to space group P4/mmm (No. 123); the cell edges are 5.003, 5.003 and 14.131 Å and the angles 90.00°, 90.00° and 90.00°. The asymmetric unit holds Tl at (0.000, 0.000, 0.175), Sn at (0.000, 0.000, 0.500), Pb at (0.000, 0.500, 0.000), Pb at (0.000, 0.500, 0.352) and Pb at (0.500, 0.500, 0.179).

Stability, lowest: x

--- w ---
First-principles (PBE) data for a relaxed structure of Tl2SnPb6, as listed in Alexandria.

The calculation puts the total moment at 0.00 μB/cell. The calculation puts the density of states at the Fermi level at 0.48 states/eV per atom.

The structure belongs to space group P-62m (No. 189); the cell edges are 9.6957, 9.6957 and 3.4256 Å and the angles 90.00°, 90.00° and 120.00°. The asymmetric unit holds Tl at (0.3333, 0.6667, 0.0000), Sn at (0.0000, 0.0000, 0.5000), Pb at (0.0000, 0.3553, 0.5000) and Pb at (0.0000, 0.7004, 0.0000).

--- x ---
First-principles (PBE) data for a relaxed structure of Tl2SnPb6, as listed in Alexandria.

The calculation puts the total moment at 0.00 μB/cell. The calculation puts the density of states at the Fermi level at 0.48 states/eV per atom.

The structure belongs to space group C2/c (No. 15); the cell edges are 12.442, 14.339 and 6.418 Å and the angles 90.00°, 96.52° and 90.00°. The asymmetric unit holds Tl at (0.126, 0.018, 0.393), Sn at (0.000, 0.409, 0.250), Pb at (0.029, 0.209, 0.004), Pb at (0.140, 0.397, 0.748) and Pb at (0.244, 0.319, 0.276).

Stability, lowest: x